Entry 1:
Material: CaPr2Sn2
Method: DFT, PBE
State: optimized geometry

Computed properties:
ΔH_f (0 K), meV/atom: -725
V, Å³ per cell: 316
Spin magnetization, μB per cell: 0.0
SG: P4/mbm

abc: 4.648 8.241 8.241
angles: 90.00 90.00 90.00
Atoms (fractional coordinates):
Ca: 0.000 0.000 0.000
Ca: 0.000 0.500 0.500
Pr: 0.500 0.175 0.675
Pr: 0.500 0.675 0.825
Pr: 0.500 0.825 0.325
Pr: 0.500 0.325 0.175
Sn: 0.000 0.375 0.875
Sn: 0.000 0.875 0.625
Sn: 0.000 0.625 0.125
Sn: 0.000 0.125 0.375

=====

Entry 2:
Material: CaPr9Sn2
Method: DFT, PBE
State: optimized geometry

Computed properties:
ΔH_f (0 K), meV/atom: -265
V, Å³ per cell: 396
Spin magnetization, μB per cell: 0.0
SG: P4/mmm

abc: 5.049 5.049 15.524
angles: 90.00 90.00 90.00
Atoms (fractional coordinates):
Ca: 0.000 0.000 0.000
Pr: 0.500 0.500 0.000
Pr: 0.500 0.500 0.340
Pr: 0.500 0.500 0.660
Pr: 0.500 0.000 0.182
Pr: 0.500 0.000 0.500
Pr: 0.500 0.000 0.818
Pr: 0.000 0.500 0.182
Pr: 0.000 0.500 0.500
Pr: 0.000 0.500 0.818
Sn: 0.000 0.000 0.340
Sn: 0.000 0.000 0.660

=====

Entry 3:
Material: CaTbPrSn
Method: DFT, PBE
State: optimized geometry

Computed properties:
ΔH_f (0 K), meV/atom: -265
V, Å³ per cell: 120
Spin magnetization, μB per cell: 0.3
SG: F-43m

abc: 5.533 5.533 5.533
angles: 60.00 60.00 60.00
Atoms (fractional coordinates):
Pr: 0.500 0.500 0.500
Ca: 0.750 0.750 0.750
Tb: 0.000 0.000 0.000
Sn: 0.250 0.250 0.250

=====

Entry 4:
Material: CaPrTlSn
Method: DFT, PBE
State: optimized geometry

Computed properties:
ΔH_f (0 K), meV/atom: -506
V, Å³ per cell: 119
Spin magnetization, μB per cell: 0.0
SG: F-43m

abc: 5.517 5.517 5.517
angles: 60.00 60.00 60.00
Atoms (fractional coordinates):
Pr: 0.000 0.000 0.000
Tl: 0.750 0.750 0.750
Ca: 0.500 0.500 0.500
Sn: 0.250 0.250 0.250

=====

Entry 5:
Material: CaPrTlSn
Method: DFT, PBE
State: optimized geometry

Computed properties:
ΔH_f (0 K), meV/atom: -544
V, Å³ per cell: 118
Spin magnetization, μB per cell: 0.0
SG: Pmmm

abc: 4.458 5.097 5.190
angles: 90.00 90.00 90.00
Atoms (fractional coordinates):
Ca: 0.500 0.000 0.500
Pr: 0.500 0.500 0.000
Tl: 0.000 0.500 0.500
Sn: 0.000 0.000 0.000

=====

Entry 6:
Material: CaPrZnSn
Method: DFT, PBE
State: optimized geometry

Computed properties:
ΔH_f (0 K), meV/atom: -488
V, Å³ per cell: 109
Spin magnetization, μB per cell: 0.0
SG: F-43m

abc: 5.366 5.366 5.366
angles: 60.00 60.00 60.00
Atoms (fractional coordinates):
Pr: 0.500 0.500 0.500
Zn: 0.250 0.250 0.250
Ca: 0.000 0.000 0.000
Sn: 0.750 0.750 0.750

=====

Entry 7:
Material: Sr5Ca6Pr
Method: DFT, PBE
State: optimized geometry

Computed properties:
ΔH_f (0 K), meV/atom: 53
V, Å³ per cell: 555
Spin magnetization, μB per cell: 1.6
SG: Immm

abc: 5.839 10.955 10.668
angles: 120.89 105.88 90.00
Atoms (fractional coordinates):
Pr: 0.000 0.000 0.000
Sr: 0.666 0.166 0.332
Sr: 0.336 0.336 0.671
Sr: 0.000 0.500 0.000
Sr: 0.664 0.664 0.329
Sr: 0.334 0.834 0.668
Ca: 0.838 0.595 0.675
Ca: 0.838 0.080 0.675
Ca: 0.500 0.763 0.000
Ca: 0.500 0.237 0.000
Ca: 0.162 0.920 0.325
Ca: 0.162 0.405 0.325

=====

Entry 8:
Material: SrCaPr
Method: DFT, PBE
State: optimized geometry

Computed properties:
ΔH_f (0 K), meV/atom: 67
V, Å³ per cell: 258
Spin magnetization, μB per cell: 0.0
SG: P-1

abc: 7.207 4.065 13.831
angles: 81.58 131.37 73.55
Atoms (fractional coordinates):
Sr: 0.657 0.613 0.302
Sr: 0.578 0.027 0.552
Ca: 0.303 0.604 0.675
Ca: 0.933 0.036 0.179
Pr: 0.281 0.005 0.894
Pr: 0.954 0.635 0.960

=====

Entry 9:
Material: SrCaPr4
Method: DFT, PBE
State: optimized geometry

Computed properties:
ΔH_f (0 K), meV/atom: 168
V, Å³ per cell: 248
Spin magnetization, μB per cell: 0.0
SG: F-43m

abc: 7.051 7.051 7.051
angles: 60.00 60.00 60.00
Atoms (fractional coordinates):
Pr: 0.626 0.626 0.122
Pr: 0.626 0.122 0.626
Pr: 0.626 0.626 0.626
Pr: 0.122 0.626 0.626
Sr: 0.250 0.250 0.250
Ca: 0.000 0.000 0.000

=====

Entry 10:
Material: SrCaPr
Method: DFT, PBE
State: optimized geometry

Computed properties:
ΔH_f (0 K), meV/atom: 99
V, Å³ per cell: 128
Spin magnetization, μB per cell: 0.0
SG: P3m1

abc: 3.899 3.899 9.703
angles: 90.00 90.00 120.00
Atoms (fractional coordinates):
Pr: 0.667 0.333 0.341
Sr: 0.000 0.000 0.004
Ca: 0.333 0.667 0.655

=====

Entry 11:
Material: SrCa4Pr2
Method: DFT, PBE
State: optimized geometry

Computed properties:
ΔH_f (0 K), meV/atom: 33
V, Å³ per cell: 293
Spin magnetization, μB per cell: 0.0
SG: R-3m

abc: 3.876 3.876 22.604
angles: 85.08 85.08 60.00
Atoms (fractional coordinates):
Pr: 0.188 0.188 0.437
Pr: 0.812 0.812 0.563
Sr: 0.000 0.000 0.000
Ca: 0.384 0.384 0.847
Ca: 0.099 0.099 0.703
Ca: 0.616 0.616 0.153
Ca: 0.901 0.901 0.297

=====

Entry 12:
Material: SrCa9Pr4
Method: DFT, PBE
State: optimized geometry

Computed properties:
ΔH_f (0 K), meV/atom: 153
V, Å³ per cell: 1199
Spin magnetization, μB per cell: 0.0
SG: P6_3/mmc

abc: 12.015 10.734 10.734
angles: 120.00 90.00 90.00
Atoms (fractional coordinates):
Sr: 0.250 0.667 0.333
Sr: 0.750 0.333 0.667
Ca: 0.028 0.799 0.597
Ca: 0.028 0.799 0.201
Ca: 0.028 0.403 0.201
Ca: 0.972 0.201 0.403
Ca: 0.972 0.201 0.799
Ca: 0.972 0.597 0.799
Ca: 0.528 0.201 0.403
Ca: 0.528 0.201 0.799
Ca: 0.528 0.597 0.799
Ca: 0.472 0.799 0.597
Ca: 0.472 0.799 0.201
Ca: 0.472 0.403 0.201
Ca: 0.250 0.457 0.913
Ca: 0.250 0.457 0.543
Ca: 0.250 0.087 0.543
Ca: 0.750 0.543 0.087
Ca: 0.750 0.543 0.457
Ca: 0.750 0.913 0.457
Pr: 0.250 0.104 0.208
Pr: 0.250 0.104 0.896
Pr: 0.250 0.792 0.896
Pr: 0.750 0.896 0.792
Pr: 0.750 0.896 0.104
Pr: 0.750 0.208 0.104
Pr: 0.000 0.000 0.000
Pr: 0.500 0.000 0.000

=====

Entry 13:
Material: Sr3Ca12Pr
Method: DFT, PBE
State: optimized geometry

Computed properties:
ΔH_f (0 K), meV/atom: 34
V, Å³ per cell: 700
Spin magnetization, μB per cell: 1.2
SG: P4/mmm

abc: 5.682 5.682 21.667
angles: 90.00 90.00 90.00
Atoms (fractional coordinates):
Sr: 0.000 0.000 0.241
Sr: 0.000 0.000 0.500
Sr: 0.000 0.000 0.759
Ca: 0.500 0.500 0.000
Ca: 0.500 0.500 0.243
Ca: 0.500 0.500 0.500
Ca: 0.500 0.500 0.757
Ca: 0.500 0.000 0.115
Ca: 0.500 0.000 0.371
Ca: 0.500 0.000 0.629
Ca: 0.500 0.000 0.885
Ca: 0.000 0.500 0.115
Ca: 0.000 0.500 0.371
Ca: 0.000 0.500 0.629
Ca: 0.000 0.500 0.885
Pr: 0.000 0.000 0.000

=====

Entry 14:
Material: SrCa4Pr
Method: DFT, PBE
State: optimized geometry

Computed properties:
ΔH_f (0 K), meV/atom: 45
V, Å³ per cell: 255
Spin magnetization, μB per cell: 0.0
SG: P4/mmm

abc: 4.003 4.003 15.887
angles: 89.99 90.00 90.00
Atoms (fractional coordinates):
Sr: 0.000 0.000 0.000
Ca: 0.500 0.500 0.816
Ca: 0.500 0.500 0.184
Ca: 0.000 0.000 0.348
Ca: 0.000 0.000 0.652
Pr: 0.500 0.500 0.500

=====

Entry 15:
Material: Sr6Ca12Pr
Method: DFT, PBE
State: optimized geometry

Computed properties:
ΔH_f (0 K), meV/atom: 169
V, Å³ per cell: 904
Spin magnetization, μB per cell: 0.0
SG: R-3m

abc: 10.727 10.727 10.727
angles: 110.72 110.72 110.72
Atoms (fractional coordinates):
Sr: 0.049 0.693 0.049
Sr: 0.049 0.049 0.693
Sr: 0.693 0.049 0.049
Sr: 0.951 0.951 0.307
Sr: 0.951 0.307 0.951
Sr: 0.307 0.951 0.951
Ca: 0.784 0.216 0.500
Ca: 0.385 0.162 0.385
Ca: 0.385 0.385 0.162
Ca: 0.838 0.615 0.615
Ca: 0.615 0.615 0.838
Ca: 0.615 0.838 0.615
Ca: 0.500 0.784 0.216
Ca: 0.216 0.500 0.784
Ca: 0.216 0.784 0.500
Ca: 0.500 0.216 0.784
Ca: 0.784 0.500 0.216
Ca: 0.162 0.385 0.385
Pr: 0.000 0.000 0.000

=====

Entry 16:
Material: SrCa4Pr2
Method: DFT, PBE
State: optimized geometry

Computed properties:
ΔH_f (0 K), meV/atom: 640
V, Å³ per cell: 334
Spin magnetization, μB per cell: 0.0
SG: I4/mmm

abc: 6.082 6.082 10.000
angles: 107.70 107.70 90.00
Atoms (fractional coordinates):
Sr: 0.000 0.000 0.000
Ca: 0.191 0.191 0.381
Ca: 0.809 0.809 0.619
Ca: 0.000 0.500 0.000
Ca: 0.500 0.000 0.000
Pr: 0.602 0.602 0.204
Pr: 0.398 0.398 0.796

=====

Entry 17:
Material: SrCa4Pr
Method: DFT, PBE
State: optimized geometry

Computed properties:
ΔH_f (0 K), meV/atom: 171
V, Å³ per cell: 267
Spin magnetization, μB per cell: 1.2
SG: F-43m

abc: 7.227 7.227 7.227
angles: 60.00 60.00 60.00
Atoms (fractional coordinates):
Pr: 0.000 0.000 0.000
Sr: 0.250 0.250 0.250
Ca: 0.626 0.626 0.123
Ca: 0.626 0.123 0.626
Ca: 0.626 0.626 0.626
Ca: 0.123 0.626 0.626

=====

Entry 18:
Material: Sr2Ca15Pr2
Method: DFT, PBE
State: optimized geometry

Computed properties:
ΔH_f (0 K), meV/atom: 123
V, Å³ per cell: 860
Spin magnetization, μB per cell: 0.0
SG: R-3m

abc: 9.595 9.595 9.595
angles: 81.98 81.98 81.98
Atoms (fractional coordinates):
Sr: 0.677 0.677 0.677
Sr: 0.323 0.323 0.323
Ca: 0.000 0.500 0.000
Ca: 0.000 0.000 0.500
Ca: 0.500 0.000 0.000
Ca: 0.293 0.000 0.707
Ca: 0.707 0.293 0.000
Ca: 0.000 0.707 0.293
Ca: 0.293 0.707 0.000
Ca: 0.000 0.293 0.707
Ca: 0.707 0.000 0.293
Ca: 0.351 0.852 0.351
Ca: 0.351 0.351 0.852
Ca: 0.852 0.351 0.351
Ca: 0.649 0.148 0.649
Ca: 0.649 0.649 0.148
Ca: 0.148 0.649 0.649
Pr: 0.907 0.907 0.907
Pr: 0.093 0.093 0.093

=====

Entry 19:
Material: SrCaPr
Method: DFT, PBE
State: optimized geometry

Computed properties:
ΔH_f (0 K), meV/atom: 105
V, Å³ per cell: 129
Spin magnetization, μB per cell: 0.0
SG: I4mm

abc: 3.931 3.931 8.768
angles: 102.95 102.95 90.00
Atoms (fractional coordinates):
Pr: 0.672 0.672 0.344
Sr: 0.005 0.005 0.010
Ca: 0.323 0.323 0.647

=====

Entry 20:
Material: Sr2Ca3PrTe6
Method: DFT, PBE
State: optimized geometry

Computed properties:
V, Å³ per cell: 411
Spin magnetization, μB per cell: 0.0
Formation energy without anion corrections, kJ/mol of formula units: -1880.6
SG: C2/m

abc: 4.575 9.213 10.263
angles: 102.82 102.88 90.00
Atoms (fractional coordinates):
Sr: 0.834 0.666 0.667
Sr: 0.166 0.334 0.333
Ca: 0.500 0.500 0.000
Ca: 0.833 0.167 0.666
Ca: 0.167 0.833 0.334
Pr: 0.500 0.000 0.000
Te: 0.333 0.926 0.667
Te: 0.663 0.591 0.327
Te: 0.667 0.074 0.333
Te: 0.997 0.250 0.994
Te: 0.003 0.750 0.006
Te: 0.337 0.409 0.673